## BaCoAg (GGA-PBE)

Data for BaCoAg after structural relaxation.

a b c (Å): 4.535 4.535 4.611
angles (deg): 90.00 90.00 120.00
Each line ends with the local moment (μB).
Fractional positions:
Ag: 0.000 0.000 0.833  0.03
Co: 0.333 0.667 0.833  1.66
Ba: 0.667 0.333 0.333  -0.07

## Properties
E_form = 0.3187 eV/atom
total DFT energy (no corrections) = -3.641 eV per atom
total magnetic moment = 1.4 μB per formula unit